# 1
A relaxed structure of Sm6Tm2Mg, computed with PBE-GGA.

Computed properties:
ρ: 7.31 g/cm³
polymorph energy (0 for the lowest one): 0.0000 eV per atom
DOS at the Fermi energy: 27.45 states/eV/cell
spin magnetization: 0.00 Bohr magnetons per cell
space group: P4_2/mnm, No. 136
E_form: 24 meV/atom

```
18
Lattice="5.0780 0.0000 0.2185 0.0000 10.6302 0.0000 -0.4574 0.0000 10.6199" Properties=species:S:1:pos:R:3 pbc="T T T"
Mg 2.5390 5.3151 0.1092
Mg -0.2287 0.0000 5.3099
Sm -0.3809 10.6158 8.8442
Sm 2.5380 8.8531 0.1234
Sm -0.2277 3.5375 5.2956
Sm 2.3868 5.3293 3.6432
Sm 4.6944 7.0378 9.1176
Sm 2.3841 8.9082 3.6982
Sm 2.2365 1.7220 7.1401
Sm 2.0826 1.7771 10.7149
Sm 2.2338 5.3009 7.1951
Sm 4.8483 7.0927 5.5427
Sm -0.0738 3.5924 1.7207
Sm 5.0015 0.0144 1.9941
Tm 2.2322 8.8305 7.2174
Tm -0.3794 3.5149 8.8220
Tm 2.3884 1.7997 3.6209
Tm 4.9999 7.1153 2.0163
```

---

# 2
A relaxed structure of Sn6IrRu, computed with PBE-GGA.

Computed properties:
ρ: 8.26 g/cm³
DOS at the Fermi energy: 4.31 states/eV/cell
spin magnetization: 0.00 Bohr magnetons per cell
space group: C2/m, No. 12
E_form: 90 meV/atom

```
8
Lattice="-3.6308 3.3622 -2.5582 -3.0372 -3.5986 2.9760 1.4797 4.2756 5.2191" Properties=species:S:1:pos:R:3 pbc="T T T"
Sn -5.0250 1.2141 2.0661
Sn -1.4294 -0.3488 2.2743
Sn -1.6411 2.1340 0.3004
Sn -0.1633 2.8251 3.5709
Sn -3.5472 1.9052 5.3366
Sn -3.7589 4.3880 3.3626
Ir -2.5941 2.0196 2.8185
Ru 0.0000 0.0000 0.0000
```

---

# 3
A relaxed structure of K3Pr2SnTe6, computed with PBE-GGA.

Computed properties:
ρ: 4.66 g/cm³
ΔE_f (raw): -1.108 eV/atom
DOS at the Fermi energy: 4.69 states/eV/cell
spin magnetization: 0.00 Bohr magnetons per cell
space group: C2/m, No. 12

```
12
Lattice="-0.8241 -3.2264 -7.2780 -3.6280 -3.3510 6.2981 -5.1651 6.8951 -1.0035" Properties=species:S:1:pos:R:3 pbc="T T T"
K -4.8086 0.1589 -0.9917
K -5.7394 0.1175 3.5150
K -3.8778 0.2002 -5.4984
Te -5.2037 3.7625 -1.0402
Te -7.9447 0.3725 0.6645
Te -7.0328 0.4131 -3.7507
Te -4.4135 -3.4448 -0.9432
Te -2.5843 -0.0953 1.7673
Te -1.6724 -0.0548 -2.6479
Sn 0.0000 0.0000 0.0000
Pr -2.6926 -3.3094 1.7692
Pr -1.7595 -3.2680 -2.7491
```

---

# 4
A relaxed structure of Cs2NiOs, computed with PBE-GGA.

Computed properties:
ρ: 7.48 g/cm³
DOS at the Fermi energy: 9.50 states/eV/cell
spin magnetization: 3.55 Bohr magnetons per cell
space group: Fm-3m, No. 225
E_form: 2065 meV/atom

```
4
Lattice="0.0000 3.8515 3.8515 3.8515 0.0000 3.8515 3.8515 3.8515 0.0000" Properties=species:S:1:pos:R:3 pbc="T T T"
Ni 0.0000 0.0000 0.0000
Cs 1.9258 1.9258 1.9258
Cs 5.7773 5.7773 5.7773
Os 3.8515 3.8515 3.8515
```

---

# 5
A relaxed structure of RbCuMo2Au, computed with PBE-GGA.

Computed properties:
ρ: 6.52 g/cm³
DOS at the Fermi energy: 4.73 states/eV/cell
spin magnetization: 6.13 Bohr magnetons per cell
space group: P4/mmm, No. 123
E_form: 3116 meV/atom

```
5
Lattice="5.0390 0.0000 0.0000 0.0000 5.3940 0.0000 0.0000 0.0000 5.0390" Properties=species:S:1:pos:R:3 pbc="T T T"
Au 0.0000 2.6970 0.0000
Mo 2.5195 0.0000 0.0000
Mo 0.0000 0.0000 2.5195
Cu 2.5195 2.6970 2.5195
Rb 0.0000 0.0000 0.0000
```

---

# 6
A relaxed structure of NpGa9Ni2, computed with PBE-GGA.

Computed properties:
ρ: 8.31 g/cm³
DOS at the Fermi energy: 26.97 states/eV/cell
spin magnetization: 0.02 Bohr magnetons per cell
space group: I4_1/amd, No. 141
E_form: -17 meV/atom

```
24
Lattice="-5.1457 5.1457 3.7035 5.1457 -5.1457 3.7035 5.1457 5.1457 -3.7035" Properties=species:S:1:pos:R:3 pbc="T T T"
Ga 2.0347 3.8958 -0.3884
Ga 3.1110 3.8958 2.2401
Ga 3.8958 2.0347 0.3884
Ga 3.1110 1.2499 3.3151
Ga 3.1110 -1.2499 3.3151
Ga 1.2499 2.0347 1.4633
Ga -1.2499 2.0347 1.4633
Ga 1.2499 3.1110 4.0919
Ga -3.1110 3.8958 2.2401
Ga -1.2499 3.1110 4.0919
Ga 0.0000 0.0000 0.0000
Ga 1.2499 8.2567 1.4633
Ga -3.1110 6.3956 2.2401
Ga -1.2499 8.2567 1.4633
Ga 3.1110 6.3956 2.2401
Ga 6.3956 2.0347 0.3884
Ga 2.0347 6.3956 -0.3884
Ga 5.1457 0.0000 1.8517
Np 0.0000 5.1457 1.8517
Np 0.0000 0.0000 3.7035
Ni 5.1457 2.5729 2.7776
Ni 7.7186 0.0000 0.9259
Ni 2.5729 0.0000 0.9259
Ni 5.1457 -2.5729 2.7776
```

---

# 7
A relaxed structure of Mn2Cu2Au, computed with PBE-GGA.

Computed properties:
ρ: 9.79 g/cm³
polymorph energy (0 for the lowest one): 0.1334 eV per atom
DOS at the Fermi energy: 6.27 states/eV/cell
spin magnetization: 15.88 Bohr magnetons per cell
space group: P4/mbm, No. 127
E_form: 265 meV/atom

```
10
Lattice="-1.0293 4.6392 -5.5429 0.3379 -5.5618 -4.7177 -2.7298 -0.3485 0.2153" Properties=species:S:1:pos:R:3 pbc="T T T"
Au 0.0000 0.0000 0.0000
Au -0.3457 -0.4613 -5.1303
Cu -2.1172 1.8281 -6.1918
Cu -1.3039 -3.0992 -3.8535
Cu -1.6660 0.5524 -2.5349
Cu -1.7551 -1.8234 -7.5104
Mn -0.6099 2.1925 -4.1847
Mn -0.0194 -1.3758 -2.4725
Mn -0.0815 -3.1151 -6.0759
Mn -0.6720 0.4532 -7.7881
```

---

# 8
A relaxed structure of ScGa2F8, computed with PBE-GGA.

Computed properties:
ρ: 3.82 g/cm³
ΔE_f (raw): -2.802 eV/atom
polymorph energy (0 for the lowest one): 0.0713 eV per atom
DOS at the Fermi energy: 2.11 states/eV/cell
spin magnetization: 0.00 Bohr magnetons per cell
space group: P-3m1, No. 164

```
11
Lattice="-3.4732 2.0659 -0.3820 -2.7695 -3.8477 4.3740 2.9991 5.3906 1.8842" Properties=species:S:1:pos:R:3 pbc="T T T"
F -0.2343 2.4258 4.4577
F -2.8938 1.9784 4.6693
F -0.3499 1.6303 1.2067
F -4.4496 -0.8193 3.6848
F 1.2059 4.4279 2.1913
F -1.7316 -0.2422 3.4465
F -1.5121 3.8508 2.4295
F -3.0094 1.1829 1.4185
Ga -3.4541 0.7823 3.2571
Ga 0.2104 2.8263 2.6190
Sc 2.9991 5.3905 1.8841
```

---

# 9
A relaxed structure of BaLi2Co, computed with PBE-GGA.

Computed properties:
ρ: 3.85 g/cm³
polymorph energy (0 for the lowest one): 0.0825 eV per atom
DOS at the Fermi energy: 5.07 states/eV/cell
spin magnetization: 1.01 Bohr magnetons per cell
space group: I4/mmm, No. 139
E_form: 438 meV/atom

```
4
Lattice="-5.4313 -1.6393 -0.7418 -1.9926 -3.6929 3.8895 2.7690 5.0042 0.1630" Properties=species:S:1:pos:R:3 pbc="T T T"
Ba -1.4678 -0.6774 2.8132
Li 0.0000 0.0000 0.0000
Li -3.7120 -2.6661 1.5738
Co -3.1871 0.3494 0.4975
```

---

# 10
A relaxed structure of Tb2NdInN, computed with PBE-GGA.

Computed properties:
ρ: 8.26 g/cm³
ΔE_f (raw): -0.936 eV/atom
DOS at the Fermi energy: 2.50 states/eV/cell
spin magnetization: 0.00 Bohr magnetons per cell
space group: P4/mmm, No. 123

```
5
Lattice="-4.5829 -0.1149 2.0614 -1.2326 -3.6675 -2.9448 1.5714 -3.1904 3.3156" Properties=species:S:1:pos:R:3 pbc="T T T"
In -2.1220 -3.4864 1.2161
Tb -0.6163 -1.8337 -1.4724
Tb 0.7857 -1.5952 1.6578
N 0.0000 0.0000 0.0000
Nd -2.2914 -0.0575 1.0307
```

---

# 11
A relaxed structure of MnCoTcHOs, computed with PBE-GGA.

Computed properties:
ρ: 12.78 g/cm³
polymorph energy (0 for the lowest one): 0.0374 eV per atom
DOS at the Fermi energy: 9.26 states/eV/cell
spin magnetization: 1.86 Bohr magnetons per cell
space group: Cm, No. 8

```
10
Lattice="4.5734 0.0000 0.0041 0.0000 2.6936 0.0000 -4.4003 0.0000 8.5005" Properties=species:S:1:pos:R:3 pbc="T T T"
Os -0.9527 1.3468 6.0089
Os 1.2474 0.0000 1.7587
H 0.8240 1.3468 7.1264
H 3.0241 0.0000 2.8761
Co -0.1972 0.0000 3.9525
Co -2.3974 1.3468 8.2027
Mn 3.5744 1.3468 1.7836
Mn 1.3743 0.0000 6.0338
Tc -0.1909 0.0000 8.2315
Tc 2.0092 1.3468 3.9812
```

---

# 12
A relaxed structure of La2ZnPb, computed with PBE-GGA.

Computed properties:
ρ: 6.86 g/cm³
DOS at the Fermi energy: 6.23 states/eV/cell
spin magnetization: 0.00 Bohr magnetons per cell
space group: Pmm2, No. 25
E_form: -221 meV/atom

```
4
Lattice="3.7997 0.0000 0.0000 0.0000 5.3617 0.0000 0.0000 0.0000 6.5434" Properties=species:S:1:pos:R:3 pbc="T T T"
La 1.8998 2.6809 2.4355
La 0.0000 0.0000 5.7408
Zn 1.8998 2.6809 5.7078
Pb 0.0000 0.0000 2.4745
```

---

Which of these has the highest ρ? MnCoTcHOs

---

Among the records above, which one has the highest ρ? MnCoTcHOs

---

Repeat the second record exactly.
A relaxed structure of Sn6IrRu, computed with PBE-GGA.

Computed properties:
ρ: 8.26 g/cm³
DOS at the Fermi energy: 4.31 states/eV/cell
spin magnetization: 0.00 Bohr magnetons per cell
space group: C2/m, No. 12
E_form: 90 meV/atom

```
8
Lattice="-3.6308 3.3622 -2.5582 -3.0372 -3.5986 2.9760 1.4797 4.2756 5.2191" Properties=species:S:1:pos:R:3 pbc="T T T"
Sn -5.0250 1.2141 2.0661
Sn -1.4294 -0.3488 2.2743
Sn -1.6411 2.1340 0.3004
Sn -0.1633 2.8251 3.5709
Sn -3.5472 1.9052 5.3366
Sn -3.7589 4.3880 3.3626
Ir -2.5941 2.0196 2.8185
Ru 0.0000 0.0000 0.0000
```

---

The highest DOS at the Fermi energy belongs to which entry? Sm6Tm2Mg